A plane-wave DFT calculation with PBE was carried out for crystalline K2TiPt3O12 at its relaxed geometry.

The value obtained for the energy is -5.808 eV per atom. For the formation energy (no corrections), the calculation gives -936 meV/atom.

The structure belongs to space group R-3m (No. 166, hexagonal axes); the cell edges are 7.1989, 7.1989 and 17.9729 Å and the angles 90.00°, 90.00° and 120.00°. The distinct sites, in fractional coordinates, are K at (0.0000, 0.0000, 0.1215), Ti at (0.0000, 0.0000, 0.5000), Pt at (0.0000, 0.5000, 0.0000), O at (0.0595, 0.5298, 0.3609) and O at (0.0805, 0.5402, 0.1039).